# 1
! TlReAu2 (PBE, relaxed); values from VASP
&SYSTEM
  ibrav = 0, nat = 4, ntyp = 3
/
ATOMIC_SPECIES
Au 196.97 Au.upf
Re 186.21 Re.upf
Tl 204.38 Tl.upf
CELL_PARAMETERS angstrom
2.8750 0.0000 0.0000
0.0000 4.2019 0.0000
0.0000 0.0000 6.1467
ATOMIC_POSITIONS crystal
Au 0.0000 0.0000 0.0165
Au 0.5000 0.5000 0.2595
Re 0.0000 0.0000 0.4861
Tl 0.5000 0.5000 0.7378
! Calculated formation energy: 0.714 eV per atom
! VASP energy: -18.5 eV per cell
! Offset from the most stable computed form: 193 meV per atom


# 2
! Cs4Na2Li (PBE, relaxed); values from VASP
&SYSTEM
  ibrav = 0, nat = 7, ntyp = 3
/
ATOMIC_SPECIES
Cs 132.91 Cs.upf
Na 22.99 Na.upf
Li 6.94 Li.upf
CELL_PARAMETERS angstrom
-7.0434 -3.3115 -0.0713
3.1607 -6.7697 2.1822
-3.2529 -2.4640 10.9485
ATOMIC_POSITIONS crystal
Cs 0.8043 0.8043 0.3915
Cs 0.1957 0.1957 0.6085
Cs 0.0000 0.5000 0.0000
Cs 0.5000 0.0000 0.0000
Na 0.5970 0.5970 0.8060
Na 0.4030 0.4030 0.1940
Li 0.0000 0.0000 0.0000
! Calculated formation energy: 0.150 eV per atom
! VASP energy: -6.9 eV per cell


# 3
! Pr2Dy3Sc (PBE, relaxed); values from VASP
&SYSTEM
  ibrav = 0, nat = 12, ntyp = 3
/
ATOMIC_SPECIES
Pr 140.91 Pr.upf
Dy 162.50 Dy.upf
Sc 44.96 Sc.upf
CELL_PARAMETERS angstrom
4.8979 0.0004 -1.0951
-0.7174 10.7489 -3.2050
-0.8277 -1.2337 7.7979
ATOMIC_POSITIONS crystal
Pr 0.5378 0.8752 0.0757
Pr 0.4622 0.1248 0.9243
Pr 0.2105 0.8740 0.4210
Pr 0.7895 0.1260 0.5790
Dy 0.0444 0.3776 0.0888
Dy 0.9556 0.6224 0.9112
Dy 0.7080 0.3731 0.4159
Dy 0.2920 0.6269 0.5841
Dy 0.6264 0.6240 0.2528
Dy 0.3736 0.3760 0.7472
Sc 0.1238 0.1256 0.2476
Sc 0.8762 0.8744 0.7524
! Calculated formation energy: 0.038 eV per atom
! VASP energy: -58.9 eV per cell
! Offset from the most stable computed form: 0 meV per atom


# 4
! SbHPd3 (PBE, relaxed); values from VASP
&SYSTEM
  ibrav = 0, nat = 5, ntyp = 3
/
ATOMIC_SPECIES
Sb 121.76 Sb.upf
Pd 106.42 Pd.upf
H 1.01 H.upf
CELL_PARAMETERS angstrom
-3.2960 3.2961 1.8586
-3.2476 -1.1992 -3.6327
-1.9419 -3.5888 2.9208
ATOMIC_POSITIONS crystal
Sb 0.0000 0.0000 0.0000
Pd 0.0000 0.5000 0.0000
Pd 0.0000 0.0000 0.5000
Pd 0.5000 0.0000 0.0000
H 0.5000 0.5000 0.5000
! VASP energy: -18.1 eV per cell
! Offset from the most stable computed form: 1261 meV per atom


Number 1: volume 74 Å³/cell, DOS at the Fermi energy 1.040 states/eV per atom. Number 2: volume 624 Å³/cell, DOS at the Fermi energy 0.672 states/eV per atom. Number 3: volume 380 Å³/cell, DOS at the Fermi energy 1.439 states/eV per atom. Number 4: volume 126 Å³/cell, DOS at the Fermi energy 1.952 states/eV per atom.